P:
Entry from Alexandria: a relaxed Ba2PbSe crystal (PBE).

Unit cell a=7.6866 b=7.6866 c=7.6866 alpha=108.42 beta=108.42 gamma=111.60
Last column: nearest neighbours and their distance in Å.
Fractional coordinates of all 8 atoms:
Ba: 0.0879 0.6250 0.9629  2 Se 3.14
Ba: 0.3750 0.3379 0.4629  2 Se 3.14
Ba: 0.6621 0.1250 0.0371  2 Se 3.14
Ba: 0.8750 0.9121 0.5371  2 Se 3.14
Pb: 0.2500 0.7500 0.5000  4 Ba 3.59
Pb: 0.5000 0.5000 0.0000  4 Ba 3.59
Se: 0.0000 0.0000 0.0000  4 Ba 3.14
Se: 0.7500 0.2500 0.5000  4 Ba 3.14

## Properties
ρ (g/cm3): 5.3
Volume (Å³/f.u.): 174.6



Q:
Entry from Alexandria: a relaxed Ba2PbSe crystal (PBE).

Unit cell a=3.9711 b=3.9711 c=9.1444 alpha=90.00 beta=90.00 gamma=90.00
Last column: nearest neighbours and their distance in Å.
Fractional coordinates of all 4 atoms:
Ba: 0.0000 0.0000 0.2162  4 Se 3.43, 4 Pb 3.82
Ba: 0.0000 0.0000 0.7838  4 Se 3.43, 4 Pb 3.82
Pb: 0.5000 0.5000 0.5000  8 Ba 3.82, 4 Pb 3.97
Se: 0.5000 0.5000 0.0000  8 Ba 3.43

## Properties
ρ (g/cm3): 6.5
Volume (Å³/f.u.): 144.2



R:
Entry from Alexandria: a relaxed Ba2PbSe crystal (PBE).

Unit cell a=6.2739 b=6.2739 c=6.2739 alpha=132.53 beta=118.58 gamma=81.12
Last column: nearest neighbours and their distance in Å.
Fractional coordinates of all 4 atoms:
Ba: 0.2205 0.2205 0.0000  2 Se 3.29, 2 Pb 3.67
Ba: 0.7795 0.7795 0.0000  2 Se 3.29, 2 Pb 3.67
Pb: 0.5000 0.0000 0.5000  8 Ba 3.67-3.83, 4 Se 4.08
Se: 0.0000 0.5000 0.5000  4 Ba 3.29

## Properties
ρ (g/cm3): 6.0
Volume (Å³/f.u.): 154.3



S:
Entry from Alexandria: a relaxed Ba2PbSe crystal (PBE).

Unit cell a=4.4563 b=4.4563 c=9.3328 alpha=90.00 beta=90.00 gamma=90.00
Last column: nearest neighbours and their distance in Å.
Fractional coordinates of all 4 atoms:
Ba: 0.0000 0.0000 0.0000  4 Se 3.26, 1 Pb 3.62
Ba: 0.5000 0.5000 0.4287  1 Se 3.16
Pb: 0.0000 0.0000 0.6123  5 Ba 3.59-3.62
Se: 0.5000 0.5000 0.0898  5 Ba 3.16-3.26

## Properties
ρ (g/cm3): 5.0
Volume (Å³/f.u.): 185.3



Most stable structure: Q



P:
Entry from Alexandria: a relaxed BaPb3Se crystal (PBE).

Unit cell a=6.3538 b=6.3538 c=6.3538 alpha=90.00 beta=90.00 gamma=90.00
Last column: nearest neighbours and their distance in Å.
Fractional coordinates of all 5 atoms:
Ba: 0.0000 0.0000 0.0000  6 Pb 3.18
Pb: 0.0000 0.0000 0.5000  2 Ba 3.18
Pb: 0.0000 0.5000 0.0000  2 Ba 3.18
Pb: 0.5000 0.0000 0.0000  2 Ba 3.18
Se: 0.5000 0.5000 0.5000  12 Pb 4.49

## Properties
ρ (g/cm3): 5.4
Volume (Å³/f.u.): 256.5



Q:
Entry from Alexandria: a relaxed BaPb3Se crystal (PBE).

Unit cell a=5.7843 b=5.7843 c=5.7843 alpha=90.00 beta=90.00 gamma=90.00
Last column: nearest neighbours and their distance in Å.
Fractional coordinates of all 5 atoms:
Ba: 0.0000 0.0000 0.0000  12 Pb 4.09
Pb: 0.0000 0.5000 0.5000  2 Se 2.89
Pb: 0.5000 0.0000 0.5000  2 Se 2.89
Pb: 0.5000 0.5000 0.0000  2 Se 2.89
Se: 0.5000 0.5000 0.5000  6 Pb 2.89

## Properties
ρ (g/cm3): 7.2
Volume (Å³/f.u.): 193.5



Most stable structure: Q



P:
Entry from Alexandria: a relaxed BaSiPb crystal (PBE).

Unit cell a=5.3168 b=5.3168 c=5.3168 alpha=60.00 beta=60.00 gamma=60.00
Last column: nearest neighbours and their distance in Å.
Fractional coordinates of all 3 atoms:
Ba: 0.0000 0.0000 0.0000  4 Si 3.26
Si: 0.7500 0.7500 0.7500  4 Ba 3.26, 4 Pb 3.26
Pb: 0.5000 0.5000 0.5000  4 Si 3.26

## Properties
ρ (g/cm3): 5.8
Volume (Å³/f.u.): 106.3



Q:
Entry from Alexandria: a relaxed BaSiPb crystal (PBE).

Unit cell a=5.3701 b=5.3701 c=5.3701 alpha=60.00 beta=60.00 gamma=60.00
Last column: nearest neighbours and their distance in Å.
Fractional coordinates of all 3 atoms:
Ba: 0.0000 0.0000 0.0000  4 Pb 3.29
Si: 0.5000 0.5000 0.5000  4 Pb 3.29
Pb: 0.2500 0.2500 0.2500  4 Si 3.29, 4 Ba 3.29

## Properties
ρ (g/cm3): 5.7
Volume (Å³/f.u.): 109.5



Most stable structure: P



P:
Entry from Alexandria: a relaxed BaSiPb crystal (PBE).

Unit cell a=10.7779 b=10.7779 c=4.0166 alpha=90.00 beta=90.00 gamma=155.26
Last column: nearest neighbours and their distance in Å.
Fractional coordinates of all 6 atoms:
Ba: 0.0961 0.9039 0.7500  6 Si 3.36-3.52
Ba: 0.9039 0.0961 0.2500  6 Si 3.36-3.52
Si: 0.4696 0.5304 0.7500  2 Si 2.38
Si: 0.5304 0.4696 0.2500  2 Si 2.38
Pb: 0.2815 0.7185 0.7500  4 Pb 3.33
Pb: 0.7185 0.2815 0.2500  4 Pb 3.33

## Properties
ρ (g/cm3): 6.3
Volume (Å³/f.u.): 97.6



Q:
Entry from Alexandria: a relaxed BaSiPb crystal (PBE).

Unit cell a=4.5344 b=4.5344 c=5.5871 alpha=90.00 beta=90.00 gamma=120.00
Last column: nearest neighbours and their distance in Å.
Fractional coordinates of all 3 atoms:
Ba: 0.0000 0.0000 0.0000  3 Si 3.25, 3 Pb 3.64
Si: 0.3333 0.6667 0.6542  3 Pb 2.85
Pb: 0.6667 0.3333 0.4515  3 Si 2.85

## Properties
ρ (g/cm3): 6.2
Volume (Å³/f.u.): 99.5



Most stable structure: P



P:
Entry from Alexandria: a relaxed BaSiPb crystal (PBE).

Unit cell a=5.4215 b=5.4215 c=5.4215 alpha=60.00 beta=60.00 gamma=60.00
Last column: nearest neighbours and their distance in Å.
Fractional coordinates of all 3 atoms:
Ba: 0.0000 0.0000 0.0000  4 Si 3.32, 4 Pb 3.32
Si: 0.7500 0.7500 0.7500  4 Ba 3.32
Pb: 0.2500 0.2500 0.2500  4 Ba 3.32

## Properties
ρ (g/cm3): 5.5
Volume (Å³/f.u.): 112.7



Q:
Entry from Alexandria: a relaxed BaSiPb crystal (PBE).

Unit cell a=6.6631 b=6.6631 c=6.6631 alpha=146.01 beta=146.01 gamma=48.83
Last column: nearest neighbours and their distance in Å.
Fractional coordinates of all 3 atoms:
Ba: 0.0000 0.0000 0.0000  5 Pb 3.50-3.76, 5 Si 3.62-3.71, 4 Ba 3.89
Si: 0.3060 0.3060 0.0000  4 Pb 2.98
Pb: 0.7115 0.7115 0.0000  4 Si 2.98

## Properties
ρ (g/cm3): 6.7
Volume (Å³/f.u.): 92.0



Most stable structure: Q



P:
Entry from Alexandria: a relaxed BaSi3Pb crystal (PBE).

Unit cell a=5.4040 b=5.4040 c=5.4040 alpha=90.00 beta=90.00 gamma=90.00
Last column: nearest neighbours and their distance in Å.
Fractional coordinates of all 5 atoms:
Ba: 0.0000 0.0000 0.0000  12 Si 3.82
Si: 0.0000 0.5000 0.5000  2 Pb 2.70
Si: 0.5000 0.0000 0.5000  2 Pb 2.70
Si: 0.5000 0.5000 0.0000  2 Pb 2.70
Pb: 0.5000 0.5000 0.5000  6 Si 2.70

## Properties
ρ (g/cm3): 4.5
Volume (Å³/f.u.): 157.8



Q:
Entry from Alexandria: a relaxed BaSi3Pb crystal (PBE).

Unit cell a=5.6181 b=5.6181 c=5.6181 alpha=90.00 beta=90.00 gamma=90.00
Last column: nearest neighbours and their distance in Å.
Fractional coordinates of all 5 atoms:
Ba: 0.0000 0.0000 0.0000  6 Si 2.81
Si: 0.0000 0.0000 0.5000  2 Ba 2.81
Si: 0.0000 0.5000 0.0000  2 Ba 2.81
Si: 0.5000 0.0000 0.0000  2 Ba 2.81
Pb: 0.5000 0.5000 0.5000  12 Si 3.97

## Properties
ρ (g/cm3): 4.0
Volume (Å³/f.u.): 177.3



Most stable structure: P



P:
Entry from Alexandria: a relaxed Ba3SiPb crystal (PBE).

Unit cell a=6.2884 b=6.2884 c=6.2884 alpha=90.00 beta=90.00 gamma=90.00
Last column: nearest neighbours and their distance in Å.
Fractional coordinates of all 5 atoms:
Ba: 0.0000 0.0000 0.5000  2 Si 3.14
Ba: 0.0000 0.5000 0.0000  2 Si 3.14
Ba: 0.5000 0.0000 0.0000  2 Si 3.14
Si: 0.0000 0.0000 0.0000  6 Ba 3.14
Pb: 0.5000 0.5000 0.5000  12 Ba 4.45

## Properties
ρ (g/cm3): 4.3
Volume (Å³/f.u.): 248.7



Q:
Entry from Alexandria: a relaxed Ba3SiPb crystal (PBE).

Unit cell a=13.7751 b=13.7751 c=7.3969 alpha=96.55 beta=96.55 gamma=17.50
Last column: nearest neighbours and their distance in Å.
Fractional coordinates of all 10 atoms:
Ba: 0.9995 0.9995 0.2365  2 Ba 3.50-3.90, 4 Pb 3.66-3.67
Ba: 0.0005 0.0005 0.7635  2 Ba 3.50-3.90, 4 Pb 3.66-3.67
Ba: 0.1948 0.1948 0.1167  3 Si 3.45-3.47, 2 Pb 3.53
Ba: 0.3585 0.3585 0.4434  3 Si 3.35-3.54
Ba: 0.6415 0.6415 0.5566  3 Si 3.35-3.54
Ba: 0.8052 0.8052 0.8833  3 Si 3.45-3.47, 2 Pb 3.53
Si: 0.2378 0.2378 0.5769  2 Si 2.51
Si: 0.7622 0.7622 0.4231  2 Si 2.51
Pb: 0.4098 0.4098 0.9608  7 Ba 3.53-3.92
Pb: 0.5902 0.5902 0.0392  7 Ba 3.53-3.92

## Properties
ρ (g/cm3): 5.1
Volume (Å³/f.u.): 209.6



Most stable structure: Q



P:
Entry from Alexandria: a relaxed BaSnPb3 crystal (PBE).

Unit cell a=9.5134 b=9.5134 c=7.3068 alpha=104.36 beta=104.36 gamma=33.57
Last column: nearest neighbours and their distance in Å.
Fractional coordinates of all 10 atoms:
Ba: 0.0843 0.0843 0.3323  4 Sn 3.63-4.02, 8 Pb 3.68-3.89
Ba: 0.9157 0.9157 0.6677  4 Sn 3.63-4.02, 8 Pb 3.68-3.89
Sn: 0.4512 0.4512 0.2979  1 Sn 3.03, 3 Pb 3.11-3.23
Sn: 0.5488 0.5488 0.7021  1 Sn 3.03, 3 Pb 3.11-3.23
Pb: 0.1327 0.1327 0.8690  3 Pb 3.18-3.48, 2 Sn 3.23
Pb: 0.2895 0.2895 0.3642  1 Sn 3.11, 3 Pb 3.37-3.42
Pb: 0.3041 0.3041 0.8405  6 Pb 3.18-3.48
Pb: 0.6959 0.6959 0.1595  6 Pb 3.18-3.48
Pb: 0.7105 0.7105 0.6358  1 Sn 3.11, 3 Pb 3.37-3.42
Pb: 0.8673 0.8673 0.1310  3 Pb 3.18-3.48, 2 Sn 3.23

## Properties
ρ (g/cm3): 8.3
Volume (Å³/f.u.): 176.6



Q:
Entry from Alexandria: a relaxed BaSnPb3 crystal (PBE).

Unit cell a=6.2513 b=6.2513 c=6.2513 alpha=90.00 beta=90.00 gamma=90.00
Last column: nearest neighbours and their distance in Å.
Fractional coordinates of all 5 atoms:
Ba: 0.0000 0.0000 0.0000  6 Pb 3.13
Sn: 0.5000 0.5000 0.5000  12 Pb 4.42
Pb: 0.0000 0.0000 0.5000  2 Ba 3.13
Pb: 0.0000 0.5000 0.0000  2 Ba 3.13
Pb: 0.5000 0.0000 0.0000  2 Ba 3.13

## Properties
ρ (g/cm3): 6.0
Volume (Å³/f.u.): 244.3



R:
Entry from Alexandria: a relaxed BaSnPb3 crystal (PBE).

Unit cell a=9.3660 b=9.3660 c=8.5699 alpha=104.49 beta=104.49 gamma=78.47
Last column: nearest neighbours and their distance in Å.
Fractional coordinates of all 20 atoms:
Ba: 0.0387 0.9613 0.7500  10 Pb 3.62-4.00, 2 Sn 3.79
Ba: 0.3756 0.6244 0.2500  8 Pb 3.77-3.96, 2 Sn 3.78
Ba: 0.6244 0.3756 0.7500  8 Pb 3.77-3.96, 2 Sn 3.78
Ba: 0.9613 0.0387 0.2500  10 Pb 3.62-4.00, 2 Sn 3.79
Sn: 0.2239 0.5595 0.7210  1 Sn 3.02, 5 Pb 3.14-3.37
Sn: 0.4405 0.7761 0.7790  1 Sn 3.02, 5 Pb 3.14-3.37
Sn: 0.5595 0.2239 0.2210  1 Sn 3.02, 5 Pb 3.14-3.37
Sn: 0.7761 0.4405 0.2790  1 Sn 3.02, 5 Pb 3.14-3.37
Pb: 0.0173 0.6587 0.3901  2 Sn 3.16-3.24, 2 Pb 3.48-3.52
Pb: 0.0182 0.3453 0.0531  3 Pb 3.18-3.30, 1 Sn 3.20
Pb: 0.2613 0.3208 0.3981  2 Sn 3.14-3.37, 3 Pb 3.28-3.48
Pb: 0.3208 0.2613 0.8981  2 Sn 3.14-3.37, 3 Pb 3.28-3.48
Pb: 0.3413 0.9827 0.1099  2 Sn 3.16-3.24, 2 Pb 3.48-3.52
Pb: 0.3453 0.0182 0.5531  3 Pb 3.18-3.30, 1 Sn 3.20
Pb: 0.6547 0.9818 0.4469  3 Pb 3.18-3.30, 1 Sn 3.20
Pb: 0.6587 0.0173 0.8901  2 Sn 3.16-3.24, 2 Pb 3.48-3.52
Pb: 0.6792 0.7387 0.1019  2 Sn 3.14-3.37, 3 Pb 3.28-3.48
Pb: 0.7387 0.6792 0.6019  2 Sn 3.14-3.37, 3 Pb 3.28-3.48
Pb: 0.9818 0.6547 0.9469  3 Pb 3.18-3.30, 1 Sn 3.20
Pb: 0.9827 0.3413 0.6099  2 Sn 3.16-3.24, 2 Pb 3.48-3.52

## Properties
ρ (g/cm3): 8.4
Volume (Å³/f.u.): 174.3



S:
Entry from Alexandria: a relaxed BaSnPb3 crystal (PBE).

Unit cell a=5.8865 b=5.8865 c=5.8865 alpha=90.00 beta=90.00 gamma=90.00
Last column: nearest neighbours and their distance in Å.
Fractional coordinates of all 5 atoms:
Ba: 0.0000 0.0000 0.0000  12 Pb 4.16
Sn: 0.5000 0.5000 0.5000  6 Pb 2.94
Pb: 0.0000 0.5000 0.5000  2 Sn 2.94
Pb: 0.5000 0.0000 0.5000  2 Sn 2.94
Pb: 0.5000 0.5000 0.0000  2 Sn 2.94

## Properties
ρ (g/cm3): 7.1
Volume (Å³/f.u.): 204.0



Most stable structure: P